VASP calculation (PBE) on a geometry-optimized BaHo2Hg3 structure.

Unit cell a=3.8137 b=3.8137 c=11.7954 alpha=90.00 beta=90.00 gamma=90.00
Atoms (fractional coordinates):
Ba  0.5000  0.5000  0.5000
Ho  0.5000  0.5000  0.8460
Ho  0.5000  0.5000  0.1540
Hg  0.0000  0.0000  0.0000
Hg  0.0000  0.0000  0.7055
Hg  0.0000  0.0000  0.2945

- Size of the total moment: 0.000 μB/f.u.
- Space group: P4/mmm
- Uncorrected energy: -2.47 eV/atom
- Formation enthalpy at 0 K: -0.474 eV per atom


VASP calculation (PBE) on a geometry-optimized PrHoTlGa structure.

Unit cell a=3.6953 b=3.6953 c=7.7171 alpha=90.00 beta=90.00 gamma=90.00
Atoms (fractional coordinates):
Pr  0.5000  0.5000  0.1241
Ho  0.5000  0.5000  0.5900
Tl  0.0000  0.0000  0.8413
Ga  0.0000  0.0000  0.3725

- Size of the total moment: 0.000 μB/f.u.
- Space group: P4mm
- Uncorrected energy: -4.15 eV/atom
- Formation enthalpy at 0 K: -0.462 eV per atom


VASP calculation (PBE) on a geometry-optimized PmSc2Hg3 structure.

Unit cell a=3.5863 b=3.5863 c=11.0449 alpha=90.00 beta=90.00 gamma=90.00
Last column: magnetic moment on the atom in μB.
Atoms (fractional coordinates):
Pm  0.5000  0.5000  0.5000  0.24
Sc  0.5000  0.5000  0.8435  0.07
Sc  0.5000  0.5000  0.1565  0.07
Hg  0.0000  0.0000  0.0000  0.00
Hg  0.0000  0.0000  0.6924  0.01
Hg  0.0000  0.0000  0.3076  0.01

- Size of the total moment: 0.678 μB/f.u.
- Space group: P4/mmm
- Uncorrected energy: -3.49 eV/atom
- Formation enthalpy at 0 K: -0.435 eV per atom


no.,calculated volume (Å³/cell)
1,171.6
2,105.4
3,142.1